Entry 1:
DFT (PBE) results for crystalline LaHgAs2 at its relaxed geometry.

The structure in POSCAR format:
```
LaHgAs2
1.0
-0.9797 5.0811 0.0293
-3.0027 2.0772 -3.6671
-4.7333 1.7155 1.1963
As Hg La
2 1 1
Cartesian
0.0000 0.0000 0.0000
-2.1789 2.2185 -0.6104
-4.3579 4.4369 -1.2207
-6.5368 6.6554 -1.8311
```

Computed properties:
M_tot (μB per cell): 0.00
ΔE_f (kJ/mol of formula units): -145
Space group: F-43m, No. 216
Density of states at the Fermi level (states/eV/cell): 3.69

Entry 2:
DFT (PBE) results for crystalline ZrPb2Au at its relaxed geometry.

The structure in POSCAR format:
```
ZrPb2Au
1.0
4.2736 0.0000 0.0000
0.0000 3.4626 0.1714
0.0000 3.0222 6.7043
Au Pb Zr
1 2 1
Cartesian
2.1368 4.8349 5.0811
0.0000 3.0109 6.5388
2.1368 1.6263 1.9252
0.0000 3.2773 3.4727
```

Computed properties:
M_tot (μB per cell): 0.00
Distance to the lowest polymorph of the same formula (eV per formula unit): 0.37
ΔE_f (kJ/mol of formula units): -32
Space group: Pm, No. 6
Density of states at the Fermi level (states/eV/cell): 2.66

Entry 3:
DFT (PBE) results for crystalline KCrTc2 at its relaxed geometry.

The structure in POSCAR format:
```
KCrTc2
1.0
2.7328 -0.0058 0.0000
-1.0192 2.5357 0.0000
0.0000 0.0000 10.0691
Cr K Tc
1 1 2
Cartesian
0.0000 0.0000 4.4770
0.8568 1.2649 7.5468
0.0000 0.0000 0.4510
0.8568 1.2649 2.6288
```

Computed properties:
M_tot (μB per cell): 0.02
Distance to the lowest polymorph of the same formula (eV per formula unit): 0.51
ΔE_f (kJ/mol of formula units): 338
Space group: Cmm2, No. 35
Density of states at the Fermi level (states/eV/cell): 4.22

Entry 4:
DFT (PBE) results for crystalline TiBSe at its relaxed geometry.

The structure in POSCAR format:
```
TiBSe
1.0
-1.3524 1.1857 2.6332
2.8641 -1.3921 0.1670
4.4525 8.8363 -3.5681
Ti B Se
2 2 2
Cartesian
1.6134 3.5159 1.2039
4.3507 5.1140 -1.9718
2.2170 4.5094 -0.8645
3.7471 4.1206 0.0965
3.7083 7.5084 -1.4486
2.2558 1.1216 0.6806
```

Computed properties:
M_tot (μB per cell): 0.00
Distance to the lowest polymorph of the same formula (eV per formula unit): 0.00
Space group: C2/m, No. 12
Density of states at the Fermi level (states/eV/cell): 1.17
Formation energy without anion corrections (meV/atom): -922

Entry 5:
DFT (PBE) results for crystalline SrLiMg2Ni at its relaxed geometry.

The structure in POSCAR format:
```
SrLiMg2Ni
1.0
-1.4209 0.1905 4.8219
-0.9928 -4.9306 -0.0978
5.1485 -1.0676 1.5593
Sr Mg Li Ni
1 2 1 1
Cartesian
2.5742 -0.5338 0.7796
-0.4964 -2.4653 -0.0489
-0.7104 0.0952 2.4110
1.3674 -2.9039 3.1417
0.0000 0.0000 0.0000
```

Computed properties:
M_tot (μB per cell): 0.00
Distance to the lowest polymorph of the same formula (eV per formula unit): 0.31
ΔE_f (kJ/mol of formula units): 29
Space group: P4/mmm, No. 123
Density of states at the Fermi level (states/eV/cell): 2.80

Entry 6:
DFT (PBE) results for crystalline Nd4Sm8Sc at its relaxed geometry.

The structure in POSCAR format:
```
Nd4Sm8Sc
1.0
0.8558 -0.2516 -11.1328
-1.0382 -9.5256 5.7376
-4.6830 3.6187 5.1603
Nd Sm Sc
4 8 1
Cartesian
0.0000 0.0000 0.0000
-0.5191 -4.7628 2.8688
-0.0912 -4.8886 -2.6976
0.4279 -0.1258 -5.5664
-1.6502 -6.3574 0.0168
-3.2152 0.1989 -0.2517
-0.9236 -1.5617 -2.7599
-3.8480 0.4259 5.2967
-3.9417 -4.5968 2.5251
-4.3813 -4.4675 8.2442
-0.4840 -1.6910 -8.4790
-1.0173 -6.5844 -5.5315
-2.8606 -2.9534 5.4490
```

Computed properties:
M_tot (μB per cell): 0.71
ΔE_f (kJ/mol of formula units): 632
Space group: R-3m, No. 166
Density of states at the Fermi level (states/eV/cell): 20.34